(1)
A relaxed structure of Tb6As3PbSe2, computed with PBE.

Computed properties:
* DOS at the Fermi energy: 2.69 states/eV per cell
* uncorrected formation energy: -1.47 eV/atom

Cell: 4.1421 8.4537 9.3647 Å, 103.14 102.78 90.00°
Closest atoms and distances in Å follow each position.
Sites, in units of the cell vectors:
Tb1 0.3280 0.9206 0.6560  3 As 2.86-2.93, 2 Se 3.02, 1 Pb 3.06
Tb2 0.6646 0.5907 0.3292  3 As 2.90-2.92, 3 Se 2.96-2.99
Tb3 0.6720 0.0794 0.3440  3 As 2.86-2.93, 2 Se 3.02, 1 Pb 3.06
Tb4 0.9992 0.2651 0.9984  3 As 2.87-2.95, 1 Se 3.02, 2 Pb 3.05
Tb5 0.0008 0.7349 0.0016  3 As 2.87-2.95, 1 Se 3.02, 2 Pb 3.05
Tb6 0.3354 0.4093 0.6708  3 As 2.90-2.92, 3 Se 2.96-2.99
As1 0.5000 0.5000 0.0000  6 Tb 2.87-2.92
As2 0.8332 0.1683 0.6665  6 Tb 2.86-2.95
As3 0.1668 0.8317 0.3335  6 Tb 2.86-2.95
Pb1 0.5000 0.0000 0.0000  6 Tb 3.05-3.06
Se1 0.8309 0.6620 0.6619  6 Tb 2.96-3.02
Se2 0.1691 0.3380 0.3381  6 Tb 2.96-3.02



(2)
A relaxed structure of Tb4AsPb2Se, computed with PBE.

Computed properties:
* DOS at the Fermi energy: 2.27 states/eV per cell
* uncorrected formation energy: -1.07 eV/atom

Cell: 4.0807 8.0593 7.0455 Å, 72.94 90.00 90.00°
Closest atoms and distances in Å follow each position.
Sites, in units of the cell vectors:
Tb1 0.0000 0.7183 0.7569  1 As 2.87, 2 Se 2.90, 2 Pb 3.19
Tb2 0.0000 0.2817 0.2431  1 As 2.87, 2 Se 2.90, 2 Pb 3.19
Tb3 0.5000 0.7155 0.2646  2 As 2.87, 1 Se 2.90, 1 Pb 3.20
Tb4 0.5000 0.2845 0.7354  2 As 2.87, 1 Se 2.90, 1 Pb 3.20
As1 0.0000 0.5000 0.5000  6 Tb 2.87
Pb1 0.0000 0.0000 0.0000  6 Tb 3.22
Pb2 0.5000 0.0000 0.5000  6 Tb 3.19-3.20
Se1 0.5000 0.5000 0.0000  6 Tb 2.90